ScTe2Ir | PBE-GGA | optimized geometry

Cell: 3.5072 3.5072 6.8036 Å, 90.00 90.00 90.00°
Last column: nearest neighbours and their distance in Å.
Sites, in units of the cell vectors:
Sc: 0.0000 0.0000 0.0000  8 Te 3.03
Te: 0.5000 0.5000 0.2547  4 Ir 2.99, 4 Sc 3.03, 1 Te 3.34
Te: 0.5000 0.5000 0.7453  4 Ir 2.99, 4 Sc 3.03, 1 Te 3.34
Ir: 0.0000 0.0000 0.5000  8 Te 2.99

Total DFT energy (no corrections): -5.425 eV/atom
Density: 9.77 g cm⁻³
Formation energy without anion corrections: -56 meV/atom
Magnetization: 0.00 μB/cell
DOS at the Fermi energy: 5.254 states/eV/cell
Symmetry: P4/mmm

***

HPtF2 | PBE-GGA | optimized geometry

Cell: 4.8528 4.8528 4.8528 Å, 123.12 123.12 84.67°
Last column: nearest neighbours and their distance in Å.
Sites, in units of the cell vectors:
H: 0.0000 0.0000 0.0000  4 F 1.51
H: 0.7500 0.2500 0.5000  4 F 1.51
Pt: 0.2500 0.7500 0.5000  4 F 2.42
Pt: 0.5000 0.5000 0.0000  4 F 2.42
F: 0.3750 0.2069 0.3319  2 H 1.51
F: 0.7931 0.1250 0.1681  2 H 1.51
F: 0.8750 0.0431 0.6681  2 H 1.51
F: 0.9569 0.6250 0.8319  2 H 1.51

Total DFT energy (no corrections): -3.539 eV/atom
Density: 10.14 g cm⁻³
Magnetization: 2.14 μB/cell
DOS at the Fermi energy: 1.379 states/eV/cell
Symmetry: I-42d

***

DyHo2Er5Sc | PBE-GGA | optimized geometry

Cell: 10.2138 10.2138 10.2801 Å, 90.00 90.00 148.84°
Last column: nearest neighbours and their distance in Å.
Sites, in units of the cell vectors:
Dy: 0.0899 0.9101 0.5000  5 Er 2.98-3.24
Dy: 0.9101 0.0899 0.0000  5 Er 2.98-3.24
Ho: 0.3862 0.6138 0.7808  1 Sc 3.28, 7 Er 3.42-3.67, 2 Dy 3.58
Ho: 0.3886 0.6114 0.3579  9 Er 3.24-3.55, 1 Sc 3.50
Ho: 0.6114 0.3886 0.8579  9 Er 3.24-3.55, 1 Sc 3.50
Ho: 0.6138 0.3862 0.2808  1 Sc 3.28, 7 Er 3.42-3.67, 2 Dy 3.58
Er: 0.0187 0.9813 0.7839  2 Dy 3.08-3.24, 2 Ho 3.38
Er: 0.1219 0.8781 0.0656  4 Ho 3.48-3.53, 6 Er 3.54-3.88, 1 Sc 3.59
Er: 0.2001 0.7999 0.7497  4 Er 3.34-3.59, 1 Dy 3.36, 2 Sc 3.37, 3 Ho 3.44-3.67
Er: 0.2238 0.7762 0.3640  1 Dy 2.98, 1 Ho 3.24, 2 Er 3.34
Er: 0.4822 0.5178 0.0629  2 Dy 3.16, 3 Ho 3.30-3.46, 1 Sc 3.51
Er: 0.5178 0.4822 0.5629  2 Dy 3.16, 3 Ho 3.30-3.46, 1 Sc 3.51
Er: 0.7762 0.2238 0.8640  1 Dy 2.98, 1 Ho 3.24, 2 Er 3.34
Er: 0.7999 0.2001 0.2497  4 Er 3.34-3.59, 1 Dy 3.36, 2 Sc 3.37, 3 Ho 3.44-3.67
Er: 0.8781 0.1219 0.5656  4 Ho 3.48-3.53, 6 Er 3.54-3.88, 1 Sc 3.59
Er: 0.9813 0.0187 0.2839  2 Dy 3.08-3.24, 2 Ho 3.38
Sc: 0.3040 0.6960 0.0588  2 Ho 3.28-3.50, 7 Er 3.37-3.59, 2 Dy 3.50
Sc: 0.6960 0.3040 0.5588  2 Ho 3.28-3.50, 7 Er 3.37-3.59, 2 Dy 3.50

Total DFT energy (no corrections): -4.598 eV/atom
Density: 8.22 g cm⁻³
Magnetization: 0.00 μB/cell
DOS at the Fermi energy: 29.592 states/eV/cell
Symmetry: Cmc2_1
Energy relative to the elements: 169 meV/atom

***

Ho8Mg3Sc2 | PBE-GGA | optimized geometry

Cell: 8.3539 8.3539 6.3880 Å, 97.42 97.42 62.18°
Last column: nearest neighbours and their distance in Å.
Sites, in units of the cell vectors:
Ho: 0.0693 0.6973 0.0741  2 Sc 3.13-3.31, 2 Ho 3.21-3.40, 2 Mg 3.24-3.25
Ho: 0.0896 0.0896 0.3821  4 Ho 3.16-3.42, 2 Mg 3.30, 1 Sc 3.35
Ho: 0.3027 0.9307 0.9259  2 Sc 3.13-3.31, 2 Ho 3.21-3.40, 2 Mg 3.24-3.25
Ho: 0.3047 0.3047 0.6979  1 Mg 3.15, 2 Sc 3.16-3.23, 1 Ho 3.42
Ho: 0.6953 0.6953 0.3021  1 Mg 3.15, 2 Sc 3.16-3.23, 1 Ho 3.42
Ho: 0.6973 0.0693 0.0741  2 Sc 3.13-3.31, 2 Ho 3.21-3.40, 2 Mg 3.24-3.25
Ho: 0.9104 0.9104 0.6179  4 Ho 3.16-3.42, 2 Mg 3.30, 1 Sc 3.35
Ho: 0.9307 0.3027 0.9259  2 Sc 3.13-3.31, 2 Ho 3.21-3.40, 2 Mg 3.24-3.25
Mg: 0.3359 0.6641 0.5000  1 Mg 2.83
Mg: 0.5000 0.5000 0.0000  6 Ho 3.15-3.25, 2 Sc 3.34, 4 Mg 3.49
Mg: 0.6641 0.3359 0.5000  1 Mg 2.83
Sc: 0.2973 0.2973 0.2011  7 Ho 3.13-3.35, 1 Mg 3.34
Sc: 0.7027 0.7027 0.7989  7 Ho 3.13-3.35, 1 Mg 3.34

Total DFT energy (no corrections): -3.941 eV/atom
Density: 6.31 g cm⁻³
Magnetization: 0.00 μB/cell
DOS at the Fermi energy: 21.284 states/eV/cell
Symmetry: C2/m
Energy relative to the elements: 218 meV/atom

***

EuThIn | PBE-GGA | optimized geometry

Cell: 7.9304 7.9304 7.9304 Å, 154.10 154.10 36.95°
Last column: nearest neighbours and their distance in Å.
Sites, in units of the cell vectors:
Eu: 0.0000 0.0000 0.0000  4 In 3.41, 4 Eu 3.55
Th: 0.3047 0.3047 0.0000  4 In 3.39, 4 Th 3.55
In: 0.6532 0.6532 0.0000  4 Th 3.39, 4 Eu 3.41, 4 In 3.55

Total DFT energy (no corrections): -6.940 eV/atom
Density: 8.72 g cm⁻³
Magnetization: 7.43 μB/cell
DOS at the Fermi energy: 5.022 states/eV/cell
Symmetry: I4mm
Energy relative to the elements: -129 meV/atom

***

Th5Cd2Tc2 | PBE-GGA | optimized geometry

Cell: 8.5400 8.4851 5.7724 Å, 70.69 69.67 39.64°
Last column: nearest neighbours and their distance in Å.
Sites, in units of the cell vectors:
Th: 0.0000 0.0000 0.0000  2 Tc 2.66
Th: 0.1275 0.1275 0.3725  2 Tc 2.89
Th: 0.3725 0.3725 0.1275  2 Tc 2.89
Th: 0.6275 0.6275 0.8725  2 Tc 2.89
Th: 0.8725 0.8725 0.6275  2 Tc 2.89
Cd: 0.2492 0.2492 0.7508  9 Th 3.41-3.72
Cd: 0.7508 0.7508 0.2492  9 Th 3.41-3.72
Tc: 0.3303 0.6697 0.6697  5 Th 2.66-2.89, 1 Tc 2.73
Tc: 0.6697 0.3303 0.3303  5 Th 2.66-2.89, 1 Tc 2.73

Total DFT energy (no corrections): -6.665 eV/atom
Density: 10.55 g cm⁻³
Magnetization: 0.00 μB/cell
DOS at the Fermi energy: 5.828 states/eV/cell
Symmetry: Fmmm
Energy relative to the elements: -36 meV/atom